(1)
{
  "formula": "GePd15",
  "functional": "PBE-GGA",
  "state": "relaxed",
  "lattice": [[7.866, 0.000, 0.000], [0.000, 2.804, 0.000], [-0.012, 0.000, 36.203]],
  "species": ["Ge", "Ge", "Pd", "Pd", "Pd", "Pd", "Pd", "Pd", "Pd", "Pd", "Pd", "Pd", "Pd", "Pd", "Pd", "Pd", "Pd", "Pd", "Pd", "Pd", "Pd", "Pd", "Pd", "Pd", "Pd", "Pd", "Pd", "Pd", "Pd", "Pd", "Pd", "Pd"],
  "frac_coords": [[0.875, 0.500, 0.219], [0.125, 0.000, 0.781], [0.375, 0.500, 0.212], [0.116, 0.000, 0.244], [0.634, 0.000, 0.244], [0.375, 0.500, 0.287], [0.875, 0.500, 0.288], [0.626, 0.000, 0.325], [0.124, 0.000, 0.325], [0.375, 0.500, 0.364], [0.875, 0.500, 0.365], [0.625, 0.000, 0.403], [0.125, 0.000, 0.403], [0.375, 0.500, 0.441], [0.875, 0.500, 0.443], [0.126, 0.000, 0.481], [0.624, 0.000, 0.481], [0.376, 0.500, 0.519], [0.874, 0.500, 0.519], [0.125, 0.000, 0.557], [0.625, 0.000, 0.559], [0.875, 0.500, 0.597], [0.375, 0.500, 0.597], [0.125, 0.000, 0.635], [0.625, 0.000, 0.636], [0.876, 0.500, 0.675], [0.374, 0.500, 0.675], [0.125, 0.000, 0.712], [0.625, 0.000, 0.713], [0.366, 0.500, 0.756], [0.884, 0.500, 0.756], [0.625, 0.000, 0.788]],
  "de_polymorph_mev_per_atom": 55,
  "energy_ev_per_cell": -163.93
}

(2)
{
  "formula": "GePd5",
  "functional": "PBE-GGA",
  "state": "relaxed",
  "lattice": [[0.480, 3.555, 3.199], [-2.164, 1.715, -3.934], [-7.190, -3.083, 3.461]],
  "species": ["Ge", "Ge", "Pd", "Pd", "Pd", "Pd", "Pd", "Pd", "Pd", "Pd", "Pd", "Pd"],
  "frac_coords": [[0.800, 0.754, 0.292], [0.246, 0.200, 0.708], [0.278, 0.233, 0.007], [0.818, 0.256, 0.174], [0.302, 0.772, 0.174], [0.369, 0.324, 0.353], [0.835, 0.165, 0.500], [0.211, 0.789, 0.500], [0.676, 0.631, 0.647], [0.228, 0.698, 0.826], [0.744, 0.182, 0.826], [0.767, 0.722, 0.993]],
  "energy_ev_per_cell": -64.87
}